Tl3HgO6: relaxed, PBE.

Cell and atoms, written as POSCAR:
```
Tl3HgO6
1.0
4.5428 -5.6660 0.0000
4.5428 5.6660 0.0000
0.0000 0.0000 5.7446
Tl Hg O
6 2 12
Direct
0.1041 0.8959 0.5000
0.1684 0.4085 0.5613
0.4085 0.1684 0.0613
0.5915 0.8316 0.5613
0.8316 0.5915 0.0613
0.8959 0.1041 0.0000
0.3553 0.6447 0.0776
0.6447 0.3553 0.5776
0.0797 0.6079 0.2977
0.1428 0.1833 0.2647
0.1833 0.1428 0.7647
0.2865 0.7135 0.7360
0.3921 0.9203 0.2977
0.4661 0.5339 0.3893
0.5339 0.4661 0.8893
0.6079 0.0797 0.7977
0.7135 0.2865 0.2360
0.8167 0.8572 0.2647
0.8572 0.8167 0.7647
0.9203 0.3921 0.7977
```

SG   Cmc2_1 (36)
ρ   10.22 g/cm³
E_tot   -82.944 eV for the cell shown
Spin magnetization   0.0 μB per formula unit
Formation energy from raw total energies   -4.3 eV/f.u.